No. 1
The following is a GGA-PBE calculation of a geometry-optimized ZrCd2W structure, from Alexandria.

E above lowest polymorph	0	meV per atom

Structure (POSCAR):
```
ZrCd2W
1.0
2.9132 0.0143 0.0000
-0.7321 2.8197 0.0000
0.0000 0.0000 9.6740
Cd W Zr
2 1 1
direct
0.0000 0.0000 0.0005
0.5000 0.5000 0.2623
0.0000 0.0000 0.5030
0.5000 0.5000 0.7342
```



No. 2
The following is a GGA-PBE calculation of a geometry-optimized ZrCd2W structure, from Alexandria.

E above lowest polymorph	145	meV per atom

Structure (POSCAR):
```
ZrCd2W
1.0
-4.0024 2.6253 0.5876
-0.4751 -0.0939 -2.8172
-3.1158 -4.7874 0.1656
Cd W Zr
2 1 1
direct
0.0000 0.1309 0.9929
0.5000 0.1416 0.2638
0.0000 0.5080 0.4939
0.5000 0.7194 0.7495
```



No. 3
The following is a GGA-PBE calculation of a geometry-optimized ZrCdW2 structure, from Alexandria.

Structure (POSCAR):
```
ZrCdW2
1.0
5.0534 -0.0126 0.0080
4.2972 2.6591 0.0080
0.3921 0.1110 5.4972
Cd W Zr
1 2 1
direct
0.2527 0.2527 0.2495
0.9953 0.9953 0.9845
0.7482 0.7482 0.7676
0.5038 0.5038 0.4984
```



No. 4
The following is a GGA-PBE calculation of a geometry-optimized ZrCdW2 structure, from Alexandria.

Structure (POSCAR):
```
ZrCdW2
1.0
-0.0186 -2.0272 1.8921
0.4786 -1.8661 -1.9947
9.4795 1.0868 1.2576
Cd W Zr
1 2 1
direct
0.5000 0.5000 0.7609
0.0000 0.0000 0.0067
0.5000 0.5000 0.2420
0.0000 0.0000 0.4904
```



No. 5
The following is a GGA-PBE calculation of a geometry-optimized ZrCd2W structure, from Alexandria.

E above lowest polymorph	188	meV per atom

Structure (POSCAR):
```
ZrCd2W
1.0
10.5072 -0.0021 -0.0012
10.0911 2.9276 -0.0012
10.0911 1.4332 2.5528
Cd W Zr
2 1 1
direct
0.9957 0.9957 0.9957
0.5043 0.5043 0.5043
0.2500 0.2500 0.2500
0.7500 0.7500 0.7500
```



No. 6
The following is a GGA-PBE calculation of a geometry-optimized ZrCdW2 structure, from Alexandria.

Structure (POSCAR):
```
ZrCdW2
1.0
4.9327 0.0000 0.0000
0.0000 2.8142 -0.0128
0.0000 0.6443 5.3405
Cd W Zr
1 2 1
direct
0.5000 0.7500 0.7500
0.0000 0.9625 0.0189
0.0000 0.5375 0.4811
0.5000 0.2500 0.2500
```



No. 7
The following is a GGA-PBE calculation of a geometry-optimized ZrCd2W structure, from Alexandria.

E above lowest polymorph	366	meV per atom

Structure (POSCAR):
```
ZrCd2W
1.0
-2.1311 -4.2950 0.3381
-3.8575 -0.5540 2.8134
-4.3297 -0.6961 -1.9678
Zr W Cd
1 1 2
direct
0.0000 0.0000 0.0000
0.5000 0.5000 0.5000
0.2500 0.2500 0.2500
0.7500 0.7500 0.7500
```



No. 8
The following is a GGA-PBE calculation of a geometry-optimized ZrCd2W structure, from Alexandria.

E above lowest polymorph	119	meV per atom

Structure (POSCAR):
```
ZrCd2W
1.0
4.0981 0.0000 0.0000
0.0000 4.0981 0.0000
0.0000 0.0000 4.6511
Cd W Zr
2 1 1
direct
0.0000 0.0000 0.0000
0.5000 0.5000 0.0000
0.5000 0.0000 0.5000
0.0000 0.5000 0.5000
```



No. 9
The following is a GGA-PBE calculation of a geometry-optimized Y4Cd3 structure, from Alexandria.

E above lowest polymorph	0	meV per atom

Structure (POSCAR):
```
Y4Cd3
1.0
-1.8690 1.8690 13.8914
1.8690 -1.8690 13.8914
1.8690 1.8690 -13.8914
Y Cd
4 3
direct
0.8462 0.8462 0.0000
0.5695 0.5695 0.0000
0.4305 0.4305 0.0000
0.1538 0.1538 0.0000
0.0000 0.0000 0.0000
0.7201 0.7201 0.0000
0.2799 0.2799 0.0000
```



No. 10
The following is a GGA-PBE calculation of a geometry-optimized Y3Cd4 structure, from Alexandria.

E above lowest polymorph	0	meV per atom

Structure (POSCAR):
```
Y3Cd4
1.0
-1.9451 1.9451 12.1183
1.9451 -1.9451 12.1183
1.9451 1.9451 -12.1183
Y Cd
3 4
direct
0.0000 0.0000 0.0000
0.7075 0.7075 0.0000
0.2925 0.2925 0.0000
0.8629 0.8629 0.0000
0.5705 0.5705 0.0000
0.4295 0.4295 0.0000
0.1371 0.1371 0.0000
```



No. 11
The following is a GGA-PBE calculation of a geometry-optimized Y2Cd13 structure, from Alexandria.

Structure (POSCAR):
```
Y2Cd13
1.0
-7.2883 2.6178 -1.4477
-4.8110 -4.1268 -4.6788
-6.4005 -4.0285 3.5017
Y Cd
2 13
direct
0.3442 0.3442 0.9675
0.6558 0.6558 0.0325
0.5000 0.5000 0.5000
0.3481 0.9592 0.3446
0.3481 0.3481 0.3446
0.9592 0.3481 0.3446
0.0408 0.6519 0.6554
0.6519 0.0408 0.6554
0.6519 0.6519 0.6554
0.1882 0.8214 0.8022
0.1882 0.1882 0.8022
0.8214 0.1882 0.8022
0.1786 0.8118 0.1978
0.8118 0.1786 0.1978
0.8118 0.8118 0.1978
```



No. 12
The following is a GGA-PBE calculation of a geometry-optimized Y3Cd4 structure, from Alexandria.

E above lowest polymorph	56	meV per atom

Structure (POSCAR):
```
Y3Cd4
1.0
4.9858 0.0000 1.4861
2.2714 4.4383 1.4861
0.0193 0.0118 9.0418
Y Cd
3 4
direct
0.2486 0.2486 0.2543
0.7514 0.7514 0.7457
0.0000 0.0000 0.0000
0.6204 0.6204 0.1387
0.8739 0.8739 0.3782
0.1261 0.1261 0.6218
0.3796 0.3796 0.8613
```



Calculated total energy (computed, eV/atom): -5.643; -5.497; -8.376; -8.453; -5.455; -8.445; -5.277; -5.523; -4.279; -3.490; -1.683; -3.434
Energy relative to the elements (computed, eV per atom): 0.190; 0.335; 0.466; 0.390; 0.378; 0.397; 0.556; 0.309; -0.193; -0.197; -0.028; -0.141
N(E_F) (computed, states/eV/f.u.): 1.63; 2.98; 4.25; 2.80; 3.91; 3.51; 5.14; 3.73; 7.71; 4.78; 5.87; 8.68